# 1
A plane-wave DFT calculation with PBE-GGA was carried out for In4HgAu after structural relaxation.

Geometry as extended XYZ:
```
6
Lattice="0.000 4.344 4.344 4.344 0.000 4.344 4.344 4.344 0.000" Properties=species:S:1:pos:R:3 pbc="T T T"
In 1.084 1.084 1.084
In 3.261 3.261 1.084
In 3.261 1.084 3.261
In 1.084 3.261 3.261
Hg 4.344 4.344 4.344
Au 6.516 6.516 6.516
```

Properties
As for the space group: F-43m, No. 216.

---

# 2
A plane-wave DFT calculation with PBE-GGA was carried out for TbAg3 after structural relaxation.

Geometry as extended XYZ:
```
4
Lattice="4.416 0.000 0.000 0.000 4.416 0.000 0.000 0.000 4.416" Properties=species:S:1:pos:R:3 pbc="T T T"
Tb 0.000 0.000 0.000
Ag 0.000 2.208 2.208
Ag 2.208 0.000 2.208
Ag 2.208 2.208 0.000
```

Properties
As for the space group: Pm-3m, No. 221.

---

# 3
A plane-wave DFT calculation with PBE-GGA was carried out for PrAl6Ir3 after structural relaxation.

Geometry as extended XYZ:
```
20
Lattice="8.081 0.000 0.000 0.000 4.246 0.000 -0.712 0.000 10.110" Properties=species:S:1:pos:R:3 pbc="T T T"
Pr 0.366 1.061 2.492
Pr 7.003 3.184 7.618
Al 0.383 1.061 5.750
Al 1.633 3.184 0.309
Al 1.939 3.184 7.519
Al 2.723 3.184 2.834
Al 3.057 1.061 4.477
Al 2.786 1.061 9.220
Al 4.584 3.184 0.890
Al 4.313 3.184 5.633
Al 4.647 1.061 7.276
Al 5.430 1.061 2.591
Al 5.737 1.061 9.801
Al 6.986 3.184 4.360
Ir 0.276 1.061 9.273
Ir 1.589 3.184 5.038
Ir 3.181 1.061 1.578
Ir 4.189 3.184 8.532
Ir 5.780 1.061 5.072
Ir 7.094 3.184 0.837
```

Properties
As for the space group: P2_1/m, No. 11.

---

# 4
A plane-wave DFT calculation with PBE-GGA was carried out for Ho2Th2ZnGa4 after structural relaxation.

Geometry as extended XYZ:
```
9
Lattice="-3.466 3.466 4.425 3.466 -3.466 4.425 3.466 3.466 -4.425" Properties=species:S:1:pos:R:3 pbc="T T T"
Ho 0.000 0.000 1.681
Ho 0.000 0.000 7.168
Th 3.466 0.000 2.212
Th 0.000 3.466 2.212
Zn 0.000 0.000 4.425
Ga 1.752 1.752 0.000
Ga 1.714 -1.714 4.425
Ga -1.714 1.714 4.425
Ga 1.714 1.714 4.425
```

Properties
As for the space group: I4/mmm, No. 139.

---

Ordered energy relative to the elements results: 214.2 -71.2 -700.8 -253.6; unit meV per atom.